! BaCoH3, optimized geometry, DFT PBE; values from VASP
! **Energy relative to the lowest polymorph listed for this composition**: 116.89 kJ/mol of atoms
! **Spin magnetization**: 2.3 μB per formula unit
! **Fermi-level density of states**: 4.149 states/eV per cell
&SYSTEM
  ibrav = 0, nat = 5, ntyp = 3
/
ATOMIC_SPECIES
Ba 137.33 Ba.upf
Co 58.93 Co.upf
H 1.01 H.upf
ATOMIC_POSITIONS crystal
Ba 0.0000 0.0000 0.0000
Co 0.5000 0.5000 0.5000
H 0.0000 0.0000 0.5000
H 0.0000 0.5000 0.0000
H 0.5000 0.0000 0.0000
CELL_PARAMETERS angstrom
4.8014 0.0000 0.0000
0.0000 4.8014 0.0000
0.0000 0.0000 4.8014

=====

! NaAs2OsAu, optimized geometry, DFT PBE; values from VASP
! **Energy**: -4.55 eV per atom
! **Spin magnetization**: 0.0 μB per formula unit
! **Fermi-level density of states**: 3.475 states/eV per cell
&SYSTEM
  ibrav = 0, nat = 5, ntyp = 4
/
ATOMIC_SPECIES
Na 22.99 Na.upf
As 74.92 As.upf
Os 190.23 Os.upf
Au 196.97 Au.upf
ATOMIC_POSITIONS crystal
Na 0.0000 0.0000 0.0000
As 0.0000 0.5000 0.5000
As 0.5000 0.0000 0.5000
Os 0.0000 0.0000 0.5000
Au 0.5000 0.5000 0.0000
CELL_PARAMETERS angstrom
4.6710 0.0000 0.0000
0.0000 4.6710 0.0000
0.0000 0.0000 5.5890

=====

! Ba4Cu3BrO6, optimized geometry, DFT PBE; values from VASP
! **Formation energy (no corrections)**: -1679 meV/atom
! **Spin magnetization**: 0.0 μB per formula unit
! **Fermi-level density of states**: 2.624 states/eV per cell
&SYSTEM
  ibrav = 0, nat = 14, ntyp = 4
/
ATOMIC_SPECIES
Ba 137.33 Ba.upf
Cu 63.55 Cu.upf
Br 79.90 Br.upf
O 16.00 O.upf
ATOMIC_POSITIONS crystal
Ba 0.0000 0.0000 0.5000
Ba 0.0000 0.5000 0.0000
Ba 0.5000 0.0000 0.0000
Ba 0.5000 0.5000 0.5000
Cu 0.0000 0.5000 0.5000
Cu 0.5000 0.0000 0.5000
Cu 0.5000 0.5000 0.0000
Br 0.0000 0.0000 0.0000
O 0.2500 0.5000 0.7500
O 0.2500 0.7500 0.5000
O 0.5000 0.2500 0.7500
O 0.5000 0.7500 0.2500
O 0.7500 0.2500 0.5000
O 0.7500 0.5000 0.2500
CELL_PARAMETERS angstrom
-3.9956 3.9956 3.9956
3.9956 -3.9956 3.9956
3.9956 3.9956 -3.9956

=====

! CaTc2P, optimized geometry, DFT PBE; values from VASP
! **Energy**: -6.76 eV per atom
! **Spin magnetization**: 0.4 μB per formula unit
! **Fermi-level density of states**: 17.414 states/eV per cell
&SYSTEM
  ibrav = 0, nat = 16, ntyp = 3
/
ATOMIC_SPECIES
Ca 40.08 Ca.upf
Tc 98.00 Tc.upf
P 30.97 P.upf
ATOMIC_POSITIONS crystal
Ca 0.0000 0.0000 0.0000
Ca 0.0000 0.5000 0.5000
Ca 0.5000 0.0000 0.5000
Ca 0.5000 0.5000 0.0000
Tc 0.0000 0.0000 0.5000
Tc 0.0000 0.5000 0.0000
Tc 0.2500 0.2500 0.7500
Tc 0.2500 0.7500 0.2500
Tc 0.5000 0.0000 0.0000
Tc 0.5000 0.5000 0.5000
Tc 0.7500 0.2500 0.2500
Tc 0.7500 0.7500 0.7500
P 0.2500 0.2500 0.2500
P 0.2500 0.7500 0.7500
P 0.7500 0.2500 0.7500
P 0.7500 0.7500 0.2500
CELL_PARAMETERS angstrom
6.3537 0.0000 0.0000
0.0000 6.3537 0.0000
0.0000 0.0000 6.3537

=====

! AlTc5, optimized geometry, DFT PBE; values from VASP
! **Energy relative to the lowest polymorph listed for this composition**: 2.78 kJ/mol of atoms
! **Spin magnetization**: 0.0 μB per formula unit
! **Fermi-level density of states**: 9.407 states/eV per cell
&SYSTEM
  ibrav = 0, nat = 12, ntyp = 2
/
ATOMIC_SPECIES
Al 26.98 Al.upf
Tc 98.00 Tc.upf
ATOMIC_POSITIONS crystal
Al 0.0000 0.0000 0.0000
Al 0.5000 0.5000 0.0000
Tc 0.0507 0.0000 0.5695
Tc 0.1714 0.5000 0.3293
Tc 0.2006 0.5000 0.9021
Tc 0.3387 0.0000 0.6660
Tc 0.3691 0.0000 0.2371
Tc 0.5507 0.5000 0.5695
Tc 0.6714 0.0000 0.3293
Tc 0.7006 0.0000 0.9021
Tc 0.8387 0.5000 0.6660
Tc 0.8691 0.5000 0.2371
CELL_PARAMETERS angstrom
9.7658 0.0000 0.0000
0.0000 2.9125 0.0000
-1.9044 0.0000 6.1204

=====

! LiCa2MgGa, optimized geometry, DFT PBE; values from VASP
! **Energy**: -2.02 eV per atom
! **Spin magnetization**: 0.0 μB per formula unit
! **Fermi-level density of states**: 2.931 states/eV per cell
&SYSTEM
  ibrav = 0, nat = 5, ntyp = 4
/
ATOMIC_SPECIES
Li 6.94 Li.upf
Ca 40.08 Ca.upf
Mg 24.30 Mg.upf
Ga 69.72 Ga.upf
ATOMIC_POSITIONS crystal
Li 0.0000 0.0000 0.0000
Ca 0.0000 0.5000 0.0000
Ca 0.5000 0.0000 0.0000
Mg 0.5000 0.5000 0.5000
Ga 0.0000 0.0000 0.5000
CELL_PARAMETERS angstrom
5.5326 0.0000 0.0000
0.0000 5.5326 0.0000
0.0000 0.0000 4.6389

=====

! TiZn2Cu, optimized geometry, DFT PBE; values from VASP
! **Energy**: -3.66 eV per atom
! **Spin magnetization**: 0.0 μB per formula unit
! **Fermi-level density of states**: 5.938 states/eV per cell
&SYSTEM
  ibrav = 0, nat = 8, ntyp = 3
/
ATOMIC_SPECIES
Ti 47.87 Ti.upf
Zn 65.41 Zn.upf
Cu 63.55 Cu.upf
ATOMIC_POSITIONS crystal
Ti 0.0000 0.0000 0.0000
Ti 0.5000 0.5000 0.0000
Zn 0.2314 0.0000 0.7347
Zn 0.4152 0.0000 0.2659
Zn 0.7314 0.5000 0.7347
Zn 0.9152 0.5000 0.2659
Cu 0.3215 0.5000 0.4993
Cu 0.8215 0.0000 0.4993
CELL_PARAMETERS angstrom
4.8140 0.0000 0.0000
0.0000 2.7017 0.0000
-1.6252 0.0000 8.9514

=====

! AlSiIr, optimized geometry, DFT PBE; values from VASP
! **Formation energy (no corrections)**: -372 meV/atom
! **Spin magnetization**: 0.0 μB per formula unit
! **Fermi-level density of states**: 1.333 states/eV per cell
&SYSTEM
  ibrav = 0, nat = 3, ntyp = 3
/
ATOMIC_SPECIES
Al 26.98 Al.upf
Si 28.09 Si.upf
Ir 192.22 Ir.upf
ATOMIC_POSITIONS crystal
Al 0.0000 0.0000 0.0000
Si 0.3333 0.6667 0.6432
Ir 0.6667 0.3333 0.3382
CELL_PARAMETERS angstrom
2.9583 0.0000 0.0000
-1.4792 2.5620 0.0000
0.0000 0.0000 5.8260

=====

! BiTe2Au, optimized geometry, DFT PBE; values from VASP
! **Formation energy (no corrections)**: -94 meV/atom
! **Spin magnetization**: 0.0 μB per formula unit
! **Fermi-level density of states**: 0.575 states/eV per cell
&SYSTEM
  ibrav = 0, nat = 16, ntyp = 3
/
ATOMIC_SPECIES
Bi 208.98 Bi.upf
Te 127.60 Te.upf
Au 196.97 Au.upf
ATOMIC_POSITIONS crystal
Bi 0.2281 0.2500 0.0716
Bi 0.2719 0.7500 0.5716
Bi 0.7281 0.2500 0.4284
Bi 0.7719 0.7500 0.9284
Te 0.1836 0.7500 0.9220
Te 0.2056 0.2500 0.6882
Te 0.2944 0.7500 0.1882
Te 0.3164 0.2500 0.4220
Te 0.6836 0.7500 0.5780
Te 0.7056 0.2500 0.8118
Te 0.7944 0.7500 0.3118
Te 0.8164 0.2500 0.0780
Au 0.1543 0.7500 0.3539
Au 0.3457 0.2500 0.8539
Au 0.6543 0.7500 0.1461
Au 0.8457 0.2500 0.6461
CELL_PARAMETERS angstrom
7.1978 0.0000 0.0000
0.0000 4.4837 0.0000
0.0000 0.0000 17.1152

=====

! Na5Sm, optimized geometry, DFT PBE; values from VASP
! **Energy**: -1.72 eV per atom
! **Spin magnetization**: 0.0 μB per formula unit
! **Fermi-level density of states**: 5.438 states/eV per cell
&SYSTEM
  ibrav = 0, nat = 12, ntyp = 2
/
ATOMIC_SPECIES
Na 22.99 Na.upf
Sm 150.36 Sm.upf
ATOMIC_POSITIONS crystal
Na 0.0000 0.0000 0.0000
Na 0.0000 0.1516 0.5000
Na 0.0000 0.3265 0.0000
Na 0.0000 0.6735 0.0000
Na 0.0000 0.8484 0.5000
Na 0.5000 0.1735 0.0000
Na 0.5000 0.3484 0.5000
Na 0.5000 0.5000 0.0000
Na 0.5000 0.6516 0.5000
Na 0.5000 0.8265 0.0000
Sm 0.0000 0.5000 0.5000
Sm 0.5000 0.0000 0.5000
CELL_PARAMETERS angstrom
6.2655 0.0000 0.0000
0.0000 18.7181 0.0000
0.0000 0.0000 3.6231

=====

! KHg2Pt, optimized geometry, DFT PBE; values from VASP
! **Energy relative to the lowest polymorph listed for this composition**: 30.46 kJ/mol of atoms
! **Spin magnetization**: 0.0 μB per formula unit
! **Fermi-level density of states**: 5.521 states/eV per cell
&SYSTEM
  ibrav = 0, nat = 16, ntyp = 3
/
ATOMIC_SPECIES
K 39.10 K.upf
Hg 200.59 Hg.upf
Pt 195.08 Pt.upf
ATOMIC_POSITIONS crystal
K 0.0000 0.0000 0.0000
K 0.0000 0.5000 0.5000
K 0.5000 0.0000 0.5000
K 0.5000 0.5000 0.0000
Hg 0.0000 0.0000 0.5000
Hg 0.0000 0.5000 0.0000
Hg 0.2500 0.2500 0.7500
Hg 0.2500 0.7500 0.2500
Hg 0.5000 0.0000 0.0000
Hg 0.5000 0.5000 0.5000
Hg 0.7500 0.2500 0.2500
Hg 0.7500 0.7500 0.7500
Pt 0.2500 0.2500 0.2500
Pt 0.2500 0.7500 0.7500
Pt 0.7500 0.2500 0.7500
Pt 0.7500 0.7500 0.2500
CELL_PARAMETERS angstrom
7.2838 0.0000 0.0000
0.0000 7.2838 0.0000
0.0000 0.0000 7.2838

=====

! Tb5Pm4Th, optimized geometry, DFT PBE; values from VASP
! **Energy relative to the lowest polymorph listed for this composition**: 0.00 kJ/mol of atoms
! **Spin magnetization**: 0.0 μB per formula unit
! **Fermi-level density of states**: 13.092 states/eV per cell
&SYSTEM
  ibrav = 0, nat = 10, ntyp = 3
/
ATOMIC_SPECIES
Tb 158.93 Tb.upf
Pm 145.00 Pm.upf
Th 232.04 Th.upf
ATOMIC_POSITIONS crystal
Tb 0.0000 0.0000 0.0000
Tb 0.2000 0.2000 0.1003
Tb 0.4027 0.4027 0.6970
Tb 0.5973 0.5973 0.3030
Tb 0.8000 0.8000 0.8997
Pm 0.2007 0.2007 0.6015
Pm 0.4025 0.4025 0.2036
Pm 0.5975 0.5975 0.7964
Pm 0.7993 0.7993 0.3985
Th 0.0000 0.0000 0.5000
CELL_PARAMETERS angstrom
12.8396 -1.8071 0.0000
12.8396 1.8071 0.0000
-0.9839 0.0000 7.1105

=====

The records above give, respectively, theoretical density values of 2990 7626 5960 6916 9863 2118 6910 9300 7950 2074 10921 8086 kg/m3.